Run one
A relaxed TaSiNO crystal, computed with PBE.

V = 87 Å³ per cell
Total magnetic moment = 0.0003 μB per atom

Unit cell a=3.219 b=3.219 c=8.357 alpha=90.00 beta=90.00 gamma=90.00
Element x y z (fractional)
Ta  0.250  0.250  0.165
Ta  0.750  0.750  0.835
Si  0.250  0.750  0.500
Si  0.750  0.250  0.500
N  0.250  0.250  0.752
N  0.750  0.750  0.248
O  0.250  0.750  0.000
O  0.750  0.250  0.000

***

Run two
A relaxed TaSiNO crystal, computed with PBE.

V = 176 Å³ per cell
Total magnetic moment = 0.0002 μB per atom

Unit cell a=5.193 b=6.712 c=5.036 alpha=90.00 beta=90.00 gamma=90.00
Element x y z (fractional)
Ta  0.054  0.073  0.000
Ta  0.446  0.073  0.500
Ta  0.554  0.927  0.000
Ta  0.946  0.927  0.500
Si  0.097  0.625  0.949
Si  0.403  0.625  0.449
Si  0.597  0.375  0.949
Si  0.903  0.375  0.449
N  0.091  0.591  0.594
N  0.409  0.591  0.094
N  0.591  0.409  0.594
N  0.909  0.409  0.094
O  0.089  0.221  0.626
O  0.411  0.221  0.126
O  0.589  0.779  0.626
O  0.911  0.779  0.126

***

It is run two that is most stable; the runner-up trails by 533 meV/atom.

***

Run one
A relaxed CuAg4 crystal, computed with PBE.

V = 168 Å³ per cell

Unit cell a=22.978 b=22.978 c=22.978 alpha=7.26 beta=7.26 gamma=7.26
Element x y z (fractional)
Cu  0.153  0.153  0.153
Cu  0.847  0.847  0.847
Ag  0.052  0.052  0.052
Ag  0.246  0.246  0.246
Ag  0.351  0.351  0.351
Ag  0.455  0.455  0.455
Ag  0.545  0.545  0.545
Ag  0.649  0.649  0.649
Ag  0.754  0.754  0.754
Ag  0.948  0.948  0.948

***

Run two
A relaxed CuAg4 crystal, computed with PBE.

V = 167 Å³ per cell

Unit cell a=4.979 b=4.979 c=12.327 alpha=100.26 beta=100.26 gamma=33.85
Element x y z (fractional)
Cu  0.201  0.201  0.413
Cu  0.799  0.799  0.587
Ag  0.000  0.000  0.000
Ag  0.112  0.112  0.691
Ag  0.297  0.297  0.104
Ag  0.404  0.404  0.785
Ag  0.500  0.500  0.500
Ag  0.596  0.596  0.215
Ag  0.703  0.703  0.896
Ag  0.888  0.888  0.309

***

It is run one that is most stable; the runner-up trails by 9 meV/atom.

***

Run one
A relaxed CuAg4 crystal, computed with PBE.

V = 168 Å³ per cell

Unit cell a=7.610 b=7.610 c=5.783 alpha=101.14 beta=101.14 gamma=30.70
Element x y z (fractional)
Cu  0.097  0.097  0.048
Cu  0.903  0.903  0.952
Ag  0.100  0.100  0.551
Ag  0.300  0.300  0.146
Ag  0.303  0.303  0.657
Ag  0.499  0.499  0.240
Ag  0.501  0.501  0.760
Ag  0.697  0.697  0.343
Ag  0.700  0.700  0.854
Ag  0.900  0.900  0.449

***

Run two
A relaxed CuAg4 crystal, computed with PBE.

V = 167 Å³ per cell

Unit cell a=2.900 b=2.900 c=19.881 alpha=90.00 beta=90.00 gamma=90.00
Element x y z (fractional)
Cu  0.250  0.250  0.036
Cu  0.750  0.750  0.964
Ag  0.250  0.250  0.234
Ag  0.250  0.250  0.447
Ag  0.250  0.250  0.659
Ag  0.250  0.250  0.873
Ag  0.750  0.750  0.127
Ag  0.750  0.750  0.341
Ag  0.750  0.750  0.553
Ag  0.750  0.750  0.766

***

It is run two that is most stable; the runner-up trails by 34 meV/atom.